Below is a relaxed structure of CdSi2Ag, with properties calculated at the PBE level.

a = 3.5204 Å, b = 2.7638 Å, c = 7.7623 Å
α = 77.82°, β = 90.00°, γ = 90.00°
Positions (direct):
Ag: 0.0000 0.4484 0.4735
Cd: 0.5000 0.7936 0.7513
Si: 0.0000 0.1910 0.0261
Si: 0.5000 0.0670 0.2491

Computed properties:
Raw formation energy = 0.305 eV per atom
E = -3.348 eV per atom